5
Lattice="5.160 0.000 0.000 0.000 5.160 0.000 0.000 0.000 5.160" Properties=species:S:1:pos:R:3 comment="NdPu3Fe (GGA-PBE, relaxed)" magnetic_moment_mub_per_cell=17.0 final_energy_ev_per_cell=-55.0 formation_energy_mev_per_atom=241 sg="Pm-3m (221)" volume_a3_per_cell=137 pbc="T T T"
Nd 0.000 0.000 0.000
Pu 0.000 2.580 2.580
Pu 2.580 0.000 2.580
Pu 2.580 2.580 0.000
Fe 2.580 2.580 2.580